The following is a PBE-GGA calculation of an optimized crystal structure of HfInIr3, from the Alexandria database.

Results
* total energy: -6.659 eV/atom
* energy of formation from the pure elements: 1.20 eV/atom

```
HfInIr3
1.0
4.839 0.000 0.000
0.000 4.839 0.000
0.000 0.000 4.839
Hf In Ir
1 1 3
direct
0.000 0.000 0.000
0.500 0.500 0.500
0.000 0.000 0.500
0.000 0.500 0.000
0.500 0.000 0.000
```